DFT (PBE) results for an optimized crystal structure of Ga3FeNi7.

Unit cell a=4.629 b=6.294 c=6.294 alpha=84.71 beta=117.56 gamma=117.56
Each line ends with the local moment (μB).
Atoms (fractional coordinates):
Ni1 0.349 0.202 0.202  0.16
Ni2 0.335 0.585 0.073  0.12
Ni3 0.335 0.073 0.585  0.12
Ni4 0.651 0.798 0.798  0.16
Ni5 0.000 0.500 0.500  0.42
Ni6 0.665 0.927 0.415  0.12
Ni7 0.665 0.415 0.927  0.12
Ga1 0.500 0.000 0.000  -0.02
Ga2 0.000 0.777 0.223  -0.01
Ga3 0.000 0.223 0.777  -0.01
Fe1 0.500 0.500 0.500  2.89

Summary:
Its formation energy is 0.0123 eV per atom.